Record 1
The following is a PBE calculation of an optimized crystal structure of YHoCBr2, from OQMD via LeMat-Bulk.

Structure (extended XYZ):
```
5
Lattice="-0.944 -3.551 -0.775 2.442 0.735 2.756 -7.946 0.611 6.877" Properties=species:S:1:pos:R:3 pbc="T T T"
Br -1.330 -2.006 1.713
Br -5.132 -0.198 7.158
C -3.961 0.304 3.428
Ho -1.652 -0.466 4.146
Y -4.793 -1.740 4.711
```

Results
calculated total energy: -6.024 eV/atom
SG: P3m1 (156)

Record 2
The following is a PBE calculation of an optimized crystal structure of La2Pr2CI3Br2, from OQMD via LeMat-Bulk.

Structure (extended XYZ):
```
10
Lattice="1.524 9.476 2.304 -2.581 9.295 2.088 -0.246 -3.984 8.026" Properties=species:S:1:pos:R:3 pbc="T T T"
Br -0.249 1.729 3.300
Br -1.054 13.058 9.118
C -0.528 9.385 2.196
I -0.917 14.817 5.049
I -0.651 7.393 6.209
I -0.386 -0.030 7.369
La -1.105 17.976 5.977
La -0.198 -3.190 6.441
Pr -0.690 11.657 3.370
Pr -0.613 3.130 9.048
```

Results
calculated total energy: -4.937 eV/atom
SG: C2/m (12)

Record 3
The following is a PBE calculation of an optimized crystal structure of La2Pr2CIBr4, from OQMD via LeMat-Bulk.

Structure (extended XYZ):
```
10
Lattice="9.285 -2.035 0.000 9.285 2.035 0.000 -2.155 0.000 8.601" Properties=species:S:1:pos:R:3 pbc="T T T"
Br 15.061 0.000 1.438
Br 2.340 0.000 2.874
Br 14.076 0.000 5.727
Br 1.355 0.000 7.163
C 9.285 0.000 0.000
I 8.208 0.000 4.301
La 11.784 0.000 0.647
La 4.632 0.000 7.954
Pr 18.135 0.000 1.688
Pr -1.719 0.000 6.914
```

Results
calculated total energy: -5.087 eV/atom
SG: C2/m (12)

Record 4
The following is a PBE calculation of an optimized crystal structure of La2Sm2C2IBr4, from OQMD via LeMat-Bulk.

Structure (extended XYZ):
```
11
Lattice="-1.867 3.269 9.198 -3.711 -0.296 9.215 7.749 -4.004 0.668" Properties=species:S:1:pos:R:3 pbc="T T T"
Br -3.458 1.863 15.487
Br 1.774 -0.901 3.368
Br 0.397 -0.130 15.714
Br 5.629 -2.894 3.595
C 1.117 -0.535 8.840
C 1.053 -0.496 10.242
I -2.789 1.486 9.207
La 2.376 -1.228 0.213
La -0.205 0.197 18.869
Sm 1.210 -0.594 6.609
Sm 0.961 -0.437 12.473
```

Results
calculated total energy: -5.550 eV/atom
SG: C2/m (12)

> The lowest calculated total energy belongs to which entry?

YHoCBr2

> Number 2 is which compound?

La2Pr2CI3Br2